Record 1
{
  "formula": "LiNd6Cu2O12",
  "functional": "PBE",
  "state": "optimized geometry",
  "m_tot_mub_per_fu": 0.844,
  "total_energy_ev_per_cell": -153.99,
  "formation_energy_uncorrected_ev_per_atom": -2.656,
  "lattice_angstrom": [[8.797, -0.001, 0.002], [6.997, 5.332, 0.002], [2.492, 0.841, 6.228]],
  "species": ["Nd", "Nd", "Nd", "Nd", "Nd", "Nd", "O", "O", "O", "O", "O", "O", "O", "O", "O", "O", "O", "O", "Li", "Cu", "Cu"],
  "frac_coords": [[0.451, 0.451, 0.801], [0.884, 0.884, 0.532], [0.784, 0.784, 0.133], [0.216, 0.216, 0.867], [0.116, 0.116, 0.468], [0.549, 0.549, 0.199], [0.500, 0.000, 0.500], [0.416, 0.917, 0.167], [0.652, 0.172, 0.176], [0.000, 0.500, 0.500], [0.751, 0.249, 0.500], [0.172, 0.652, 0.176], [0.917, 0.416, 0.167], [0.083, 0.584, 0.833], [0.584, 0.083, 0.833], [0.249, 0.751, 0.500], [0.828, 0.348, 0.824], [0.348, 0.828, 0.824], [0.000, 0.000, 0.000], [0.333, 0.333, 0.334], [0.667, 0.667, 0.666]]
}

***

Record 2
{
  "formula": "Li2NdCuO4",
  "functional": "PBE",
  "state": "optimized geometry",
  "m_tot_mub_per_fu": 0.000,
  "total_energy_ev_per_cell": -46.75,
  "formation_energy_uncorrected_ev_per_atom": -1.778,
  "lattice_angstrom": [[4.925, 0.248, 0.358], [-2.154, 4.436, -0.358], [-2.154, -1.888, 4.030]],
  "species": ["O", "O", "O", "O", "Nd", "Li", "Li", "Cu"],
  "frac_coords": [[0.563, 0.420, 0.420], [0.437, 0.857, 0.857], [0.000, 0.580, 0.143], [0.000, 0.143, 0.580], [0.000, 0.000, 0.000], [0.500, 0.250, 0.750], [0.500, 0.750, 0.250], [0.000, 0.500, 0.500]]
}

***

Record 3
{
  "formula": "LiNdCuPd",
  "functional": "PBE",
  "state": "optimized geometry",
  "m_tot_mub_per_fu": 0.000,
  "total_energy_ev_per_cell": -17.15,
  "formation_enthalpy_0k_mev_per_atom": -295,
  "lattice_angstrom": [[4.832, 0.000, 0.000], [2.416, 4.185, 0.000], [2.416, 1.395, 3.946]],
  "species": ["Pd", "Nd", "Cu", "Li"],
  "frac_coords": [[0.750, 0.750, 0.750], [0.000, 0.000, 0.000], [0.250, 0.250, 0.250], [0.500, 0.500, 0.500]]
}